1.
An optimized crystal structure of Mg6CdIn. Source: Alexandria, functional GGA-PBE.

Computed properties:
Mass density in Mg/m³: 3.460
Energy above the lowest structure with this stoichiometry in eV per atom: 0.000
Crystal system: tetragonal
Energy of formation in kJ/mol of formula units: -59

a = 4.4600 Å, b = 4.4600 Å, c = 9.0014 Å
α = 90.00°, β = 90.00°, γ = 90.00°
Closest atoms and distances in Å follow each position.
Fractional coordinates of all 8 atoms:
Mg 0.0000 0.0000 0.0000  8 Mg 3.15, 4 Cd 3.15
Mg 0.0000 0.0000 0.5000  4 In 3.15, 8 Mg 3.18
Mg 0.0000 0.5000 0.2477  2 Cd 3.15, 8 Mg 3.15-3.18, 2 In 3.18
Mg 0.0000 0.5000 0.7523  2 Cd 3.15, 8 Mg 3.15-3.18, 2 In 3.18
Mg 0.5000 0.0000 0.2477  2 Cd 3.15, 8 Mg 3.15-3.18, 2 In 3.18
Mg 0.5000 0.0000 0.7523  2 Cd 3.15, 8 Mg 3.15-3.18, 2 In 3.18
Cd 0.5000 0.5000 0.0000  12 Mg 3.15
In 0.5000 0.5000 0.5000  12 Mg 3.15-3.18


2.
An optimized crystal structure of Mg3Cd8In2. Source: Alexandria, functional GGA-PBE.

Computed properties:
Mass density in Mg/m³: 6.500
Energy above the lowest structure with this stoichiometry in eV per atom: 0.000
Crystal system: monoclinic
Energy of formation in kJ/mol of formula units: -3

a = 10.2804 Å, b = 3.2900 Å, c = 10.4080 Å
α = 90.00°, β = 119.29°, γ = 90.00°
Closest atoms and distances in Å follow each position.
Fractional coordinates of all 13 atoms:
Mg 0.0000 0.0000 0.0000  6 Cd 2.98-3.15, 6 Mg 3.17-3.29
Mg 0.0641 0.5000 0.7760  7 Cd 2.94-3.11, 4 Mg 3.17-3.29
Mg 0.9359 0.5000 0.2240  7 Cd 2.94-3.11, 4 Mg 3.17-3.29
Cd 0.1668 0.5000 0.5571  2 Mg 2.94-3.10, 7 Cd 3.03-3.29, 2 In 3.25
Cd 0.2114 0.0000 0.3236  3 Mg 2.98-2.99, 2 In 3.05-3.10, 6 Cd 3.15-3.34
Cd 0.2945 0.5000 0.0940  3 Mg 2.98-3.15, 2 In 3.11, 6 Cd 3.19-3.34
Cd 0.3518 0.0000 0.8635  7 Cd 2.98-3.29, 2 Mg 3.11, 1 In 3.12
Cd 0.6482 0.0000 0.1365  7 Cd 2.98-3.29, 2 Mg 3.11, 1 In 3.12
Cd 0.7055 0.5000 0.9060  3 Mg 2.98-3.15, 2 In 3.11, 6 Cd 3.19-3.34
Cd 0.7886 0.0000 0.6764  3 Mg 2.98-2.99, 2 In 3.05-3.10, 6 Cd 3.15-3.34
Cd 0.8332 0.5000 0.4429  2 Mg 2.94-3.10, 7 Cd 3.03-3.29, 2 In 3.25
In 0.4706 0.0000 0.6389  7 Cd 3.05-3.25, 3 In 3.23-3.29
In 0.5294 0.0000 0.3611  7 Cd 3.05-3.25, 3 In 3.23-3.29


3.
An optimized crystal structure of Mg2CdIn. Source: Alexandria, functional GGA-PBE.

Computed properties:
Mass density in Mg/m³: 5.064
Crystal system: tetragonal
Energy of formation in kJ/mol of formula units: -34

a = 3.5459 Å, b = 3.5459 Å, c = 7.1943 Å
α = 90.00°, β = 90.00°, γ = 90.00°
Closest atoms and distances in Å follow each position.
Fractional coordinates of all 4 atoms:
Mg 0.0000 0.0000 0.2440  4 Cd 3.06, 4 In 3.11
Mg 0.0000 0.0000 0.7560  4 Cd 3.06, 4 In 3.11
Cd 0.5000 0.5000 0.0000  8 Mg 3.06
In 0.5000 0.5000 0.5000  8 Mg 3.11


4.
An optimized crystal structure of Mg7Cd2In2. Source: Alexandria, functional GGA-PBE.

Computed properties:
Mass density in Mg/m³: 4.036
Crystal system: monoclinic
Energy of formation in kJ/mol of formula units: -35

a = 5.7894 Å, b = 5.7894 Å, c = 8.0382 Å
α = 100.59°, β = 100.59°, γ = 96.93°
Closest atoms and distances in Å follow each position.
Fractional coordinates of all 11 atoms:
Mg 0.0000 0.0000 0.0000  2 In 2.93, 2 Mg 3.13
Mg 0.0831 0.4514 0.8085  1 Cd 2.94, 3 In 3.02-3.16, 1 Mg 3.19
Mg 0.1415 0.1415 0.4048  2 Mg 2.98-3.13, 4 Cd 3.04-3.14, 1 In 3.11
Mg 0.4514 0.0831 0.8085  1 Cd 2.94, 3 In 3.02-3.16, 1 Mg 3.19
Mg 0.5486 0.9169 0.1915  1 Cd 2.94, 3 In 3.02-3.16, 1 Mg 3.19
Mg 0.8585 0.8585 0.5952  2 Mg 2.98-3.13, 4 Cd 3.04-3.14, 1 In 3.11
Mg 0.9169 0.5486 0.1915  1 Cd 2.94, 3 In 3.02-3.16, 1 Mg 3.19
Cd 0.3057 0.6943 0.5000  6 Mg 2.94-3.14, 2 In 3.12
Cd 0.6943 0.3057 0.5000  6 Mg 2.94-3.14, 2 In 3.12
In 0.3919 0.3919 0.1606  8 Mg 2.93-3.16, 2 Cd 3.12
In 0.6081 0.6081 0.8394  8 Mg 2.93-3.16, 2 Cd 3.12


5.
An optimized crystal structure of Mg12Cd2In5. Source: Alexandria, functional GGA-PBE.

Computed properties:
Mass density in Mg/m³: 4.056
Energy above the lowest structure with this stoichiometry in eV per atom: 0.000
Crystal system: monoclinic
Energy of formation in kJ/mol of formula units: -76

a = 9.5062 Å, b = 9.5062 Å, c = 5.7053 Å
α = 104.10°, β = 104.10°, γ = 64.74°
Closest atoms and distances in Å follow each position.
Fractional coordinates of all 19 atoms:
Mg 0.0455 0.5607 0.7942  4 In 2.99-3.30, 1 Cd 3.04, 6 Mg 3.06-3.30
Mg 0.0583 0.0583 0.2882  2 Cd 3.01, 3 Mg 3.13-3.28, 1 In 3.28
Mg 0.1495 0.6507 0.3757  3 In 2.99-3.16, 1 Cd 3.02, 5 Mg 3.11-3.23
Mg 0.3493 0.8505 0.6243  3 In 2.99-3.16, 1 Cd 3.02, 5 Mg 3.11-3.23
Mg 0.3972 0.3972 0.9776  3 In 2.96-3.21, 2 Cd 3.03, 3 Mg 3.06-3.24
Mg 0.4393 0.9545 0.2058  4 In 2.99-3.30, 1 Cd 3.04, 6 Mg 3.06-3.30
Mg 0.5607 0.0455 0.7942  4 In 2.99-3.30, 1 Cd 3.04, 6 Mg 3.06-3.30
Mg 0.6028 0.6028 0.0224  3 In 2.96-3.21, 2 Cd 3.03, 3 Mg 3.06-3.24
Mg 0.6507 0.1495 0.3757  3 In 2.99-3.16, 1 Cd 3.02, 5 Mg 3.11-3.23
Mg 0.8505 0.3493 0.6243  3 In 2.99-3.16, 1 Cd 3.02, 5 Mg 3.11-3.23
Mg 0.9417 0.9417 0.7118  2 Cd 3.01, 3 Mg 3.13-3.28, 1 In 3.28
Mg 0.9545 0.4393 0.2058  4 In 2.99-3.30, 1 Cd 3.04, 6 Mg 3.06-3.30
Cd 0.2485 0.7515 0.0000  8 Mg 3.01-3.04
Cd 0.7515 0.2485 0.0000  8 Mg 3.01-3.04
In 0.1888 0.1888 0.8486  8 Mg 3.01-3.28, 2 In 3.25-3.27
In 0.2920 0.2920 0.4342  7 Mg 2.99-3.30, 3 In 3.25-3.27
In 0.5000 0.5000 0.5000  6 Mg 2.96-2.99, 2 In 3.25
In 0.7080 0.7080 0.5658  7 Mg 2.99-3.30, 3 In 3.25-3.27
In 0.8112 0.8112 0.1514  8 Mg 3.01-3.28, 2 In 3.25-3.27


6.
An optimized crystal structure of MgCdIn2. Source: Alexandria, functional GGA-PBE.

Computed properties:
Mass density in Mg/m³: 6.112
Crystal system: orthorhombic
Energy of formation in kJ/mol of formula units: 0

a = 10.6500 Å, b = 5.7471 Å, c = 3.2524 Å
α = 90.00°, β = 90.00°, γ = 90.00°
Closest atoms and distances in Å follow each position.
Fractional coordinates of all 8 atoms:
Mg 0.0000 0.0000 0.0000  4 In 3.13, 2 Mg 3.25, 4 Cd 3.30
Mg 0.5000 0.0000 0.5000  4 In 3.13, 2 Mg 3.25, 4 Cd 3.30
Cd 0.0000 0.5000 0.5000  4 In 3.14, 2 Cd 3.25, 4 Mg 3.30
Cd 0.5000 0.5000 0.0000  4 In 3.14, 2 Cd 3.25, 4 Mg 3.30
In 0.2500 0.2476 0.2500  2 Mg 3.13, 2 Cd 3.14, 6 In 3.25-3.33
In 0.2500 0.7524 0.7500  2 Mg 3.13, 2 Cd 3.14, 6 In 3.25-3.33
In 0.7500 0.2476 0.2500  2 Mg 3.13, 2 Cd 3.14, 6 In 3.25-3.33
In 0.7500 0.7524 0.7500  2 Mg 3.13, 2 Cd 3.14, 6 In 3.25-3.33